Computed, not measured: CeZn2Ni6 after structural relaxation at the PBE level of DFT.

density	8.1	g cm⁻³
calculated formation energy	-0.01	eV/atom
volume	255	Å³ per cell

CIF file:
```
data_CeZn2Ni6
_chemical_formula_sum 'Ce2 Zn4 Ni12'
_space_group_name_H-M_alt 'I m m m'
_space_group_IT_number 71
_space_group_name_Hall '-I 2 2'
_cell_length_a 3.3135
_cell_length_b 6.2506
_cell_length_c 12.3250
_cell_angle_alpha 90.00
_cell_angle_beta 90.00
_cell_angle_gamma 90.00
loop_
_atom_site_label
_atom_site_type_symbol
_atom_site_fract_x
_atom_site_fract_y
_atom_site_fract_z
_atom_site_occupancy
Ce1 Ce 0.0000 0.0000 0.0000 1
Zn1 Zn 0.0000 0.5000 0.1344 1
Ni1 Ni 0.0000 0.1830 0.5000 1
Ni2 Ni 0.0000 0.3062 0.3147 1
```


Computed, not measured: CeZn4Ni2 after structural relaxation at the PBE level of DFT.

density	7.6	g cm⁻³
calculated formation energy	-0.26	eV/atom
energy relative to the lowest polymorph listed for this composition	63	meV/atom
volume	226	Å³ per cell

CIF file:
```
data_CeZn4Ni2
_chemical_formula_sum 'Ce2 Zn8 Ni4'
_space_group_name_H-M_alt 'C m m m'
_space_group_IT_number 65
_space_group_name_Hall '-C 2 2'
_cell_length_a 3.9629
_cell_length_b 14.5394
_cell_length_c 3.9236
_cell_angle_alpha 90.00
_cell_angle_beta 90.00
_cell_angle_gamma 90.00
loop_
_atom_site_label
_atom_site_type_symbol
_atom_site_fract_x
_atom_site_fract_y
_atom_site_fract_z
_atom_site_occupancy
Ce1 Ce 0.0000 0.0000 0.0000 1
Zn1 Zn 0.0000 0.1847 0.5000 1
Zn2 Zn 0.0000 0.3164 0.0000 1
Ni1 Ni 0.0000 0.4187 0.5000 1
```


Computed, not measured: Ce2Zn5Ni5 after structural relaxation at the PBE level of DFT.

density	8.0	g cm⁻³
calculated formation energy	-0.29	eV/atom
energy relative to the lowest polymorph listed for this composition	55	meV/atom
volume	187	Å³ per cell

CIF file:
```
data_Ce2Zn5Ni5
_chemical_formula_sum 'Ce2 Zn5 Ni5'
_space_group_name_H-M_alt 'P m m m'
_space_group_IT_number 47
_cell_length_a 3.9994
_cell_length_b 5.1988
_cell_length_c 8.9936
_cell_angle_alpha 90.00
_cell_angle_beta 90.00
_cell_angle_gamma 90.00
loop_
_space_group_symop_operation_xyz
'x,y,z'
'-x,-y,-z'
'-x,-y,z'
'x,y,-z'
'x,-y,-z'
'-x,y,z'
'-x,y,-z'
'x,-y,z'
loop_
_atom_site_label
_atom_site_type_symbol
_atom_site_fract_x
_atom_site_fract_y
_atom_site_fract_z
_atom_site_occupancy
Ce1 Ce 0.0000 0.0000 0.0000 1
Ce2 Ce 0.0000 0.5000 0.5000 1
Zn1 Zn 0.0000 0.0000 0.3260 1
Zn2 Zn 0.0000 0.5000 0.1661 1
Zn3 Zn 0.5000 0.0000 0.5000 1
Ni1 Ni 0.5000 0.2524 0.2484 1
Ni2 Ni 0.5000 0.5000 0.0000 1
```


Computed, not measured: CeZn9Ni2 after structural relaxation at the PBE level of DFT.

density	7.7	g cm⁻³
calculated formation energy	-0.26	eV/atom
energy relative to the lowest polymorph listed for this composition	0	meV/atom
volume	734	Å³ per cell

CIF file:
```
data_CeZn9Ni2
_chemical_formula_sum 'Ce4 Zn36 Ni8'
_space_group_name_H-M_alt 'I 41/a m d'
_space_group_IT_number 141
_cell_length_a 10.4342
_cell_length_b 10.4342
_cell_length_c 6.7388
_cell_angle_alpha 90.00
_cell_angle_beta 90.00
_cell_angle_gamma 90.00
loop_
_space_group_symop_operation_xyz
'x,y,z'
'-x,-y,-z'
'-y+1/4,x+3/4,z+1/4'
'y+1/4,-x+3/4,-z+1/4'
'-x+1/2,-y,z+1/2'
'x+1/2,y,-z+1/2'
'y+1/4,-x+1/4,z+3/4'
'-y+1/4,x+1/4,-z+3/4'
'x,-y,-z'
'-x,y,z'
'-y+1/4,-x+1/4,-z+3/4'
'y+1/4,x+1/4,z+3/4'
'-x+1/2,y,-z+1/2'
'x+1/2,-y,z+1/2'
'y+1/4,x+3/4,-z+1/4'
'-y+1/4,-x+3/4,z+1/4'
'x+1/2,y+1/2,z+1/2'
'-x+1/2,-y+1/2,-z+1/2'
'-y+3/4,x+1/4,z+3/4'
'y+3/4,-x+1/4,-z+3/4'
'-x,-y+1/2,z'
'x,y+1/2,-z'
'y+3/4,-x+3/4,z+1/4'
'-y+3/4,x+3/4,-z+1/4'
'x+1/2,-y+1/2,-z+1/2'
'-x+1/2,y+1/2,z+1/2'
'-y+3/4,-x+3/4,-z+1/4'
'y+3/4,x+3/4,z+1/4'
'-x,y+1/2,-z'
'x,-y+1/2,z'
'y+3/4,x+1/4,-z+3/4'
'-y+3/4,-x+1/4,z+3/4'
loop_
_atom_site_label
_atom_site_type_symbol
_atom_site_fract_x
_atom_site_fract_y
_atom_site_fract_z
_atom_site_occupancy
Ce1 Ce 0.0000 0.2500 0.3750 1
Zn1 Zn 0.0000 0.2500 0.8750 1
Zn2 Zn 0.1219 0.0468 0.6864 1
Ni1 Ni 0.0000 0.0000 0.0000 1
```